1.
# BaSiSeO2, optimized geometry, DFT GGA-PBE
data_BaSiSeO2
_chemical_formula_sum 'Ba1 Si1 Se1 O2'
_symmetry_space_group_name_H-M 'P 1'
_symmetry_Int_Tables_number 1
_cell_length_a 4.3619
_cell_length_b 9.6384
_cell_length_c 4.3619
_cell_angle_alpha 90.00
_cell_angle_beta 90.00
_cell_angle_gamma 90.00
loop_
_symmetry_equiv_pos_as_xyz
'x,y,z'
loop_
_atom_site_label
_atom_site_fract_x
_atom_site_fract_y
_atom_site_fract_z
_atom_site_occupancy
Si1 0.0000 0.5000 0.0000 1
O1 0.0000 0.0000 0.5000 1
Ba1 0.0000 0.0000 0.0000 1
O2 0.5000 0.0000 0.0000 1
Se1 0.5000 0.5000 0.5000 1
# E_form (uncorrected)	0.68	eV per formula unit
# DOS at the Fermi energy	3.50	states/eV/cell



2.
# BaSiSeO6, optimized geometry, DFT GGA-PBE
data_BaSiSeO6
_chemical_formula_sum 'Ba1 Si1 Se1 O6'
_symmetry_space_group_name_H-M 'P 1'
_symmetry_Int_Tables_number 1
_cell_length_a 4.8600
_cell_length_b 4.8600
_cell_length_c 5.9094
_cell_angle_alpha 90.00
_cell_angle_beta 90.00
_cell_angle_gamma 60.00
loop_
_symmetry_equiv_pos_as_xyz
'x,y,z'
loop_
_atom_site_label
_atom_site_fract_x
_atom_site_fract_y
_atom_site_fract_z
_atom_site_occupancy
Si1 0.3333 0.3333 0.5000 1
O1 0.6082 0.0041 0.3247 1
Ba1 0.0000 0.0000 0.0000 1
Se1 0.6666 0.6667 0.5000 1
O2 0.3876 0.6082 0.3247 1
O3 0.3876 0.0041 0.6753 1
O4 0.6082 0.3877 0.6753 1
O5 0.0041 0.6082 0.6753 1
O6 0.0041 0.3877 0.3247 1
# E_form (uncorrected)	-16.94	eV per formula unit
# DOS at the Fermi energy	0.00	states/eV/cell



3.
# Ba2Sm3Si3SeO12, optimized geometry, DFT GGA-PBE
data_Ba2Sm3Si3SeO12
_chemical_formula_sum 'Ba4 Sm6 Si6 Se2 O24'
_symmetry_space_group_name_H-M 'P 1'
_symmetry_Int_Tables_number 1
_cell_length_a 10.1101
_cell_length_b 10.1101
_cell_length_c 7.1773
_cell_angle_alpha 90.00
_cell_angle_beta 90.00
_cell_angle_gamma 120.00
loop_
_symmetry_equiv_pos_as_xyz
'x,y,z'
loop_
_atom_site_label
_atom_site_fract_x
_atom_site_fract_y
_atom_site_fract_z
_atom_site_occupancy
O1 0.0813 0.5141 0.2500 1
Se1 0.0000 0.0000 0.5000 1
Sm1 0.7344 0.9970 0.7500 1
O2 0.7533 0.6545 0.9313 1
O3 0.9012 0.2467 0.5687 1
O4 0.7533 0.6545 0.5687 1
O5 0.6545 0.9012 0.4313 1
O6 0.6545 0.9012 0.0687 1
O7 0.4328 0.9187 0.2500 1
O8 0.1654 0.4450 0.7500 1
O9 0.4859 0.5672 0.2500 1
O10 0.0988 0.7533 0.0687 1
Si1 0.9793 0.3607 0.7500 1
O11 0.3455 0.0988 0.5687 1
O12 0.5141 0.4328 0.7500 1
Ba1 0.6667 0.3333 0.9987 1
Se2 0.0000 0.0000 0.0000 1
Ba2 0.3333 0.6667 0.4987 1
O13 0.9012 0.2467 0.9313 1
O14 0.7205 0.1654 0.2500 1
Sm2 0.0030 0.7373 0.7500 1
Si2 0.6186 0.9793 0.2500 1
Ba3 0.6667 0.3333 0.5013 1
O15 0.2467 0.3455 0.0687 1
O16 0.8346 0.5550 0.2500 1
Sm3 0.9970 0.2627 0.2500 1
O17 0.5672 0.0813 0.7500 1
Sm4 0.7373 0.7344 0.2500 1
O18 0.5550 0.7205 0.7500 1
Sm5 0.2627 0.2656 0.7500 1
Si3 0.6393 0.6186 0.7500 1
O19 0.4450 0.2795 0.2500 1
O20 0.2467 0.3455 0.4313 1
O21 0.9187 0.4859 0.7500 1
O22 0.2795 0.8346 0.7500 1
Si4 0.0207 0.6393 0.2500 1
O23 0.0988 0.7533 0.4313 1
Sm6 0.2656 0.0030 0.2500 1
O24 0.3455 0.0988 0.9313 1
Ba4 0.3333 0.6667 0.0013 1
Si5 0.3814 0.0207 0.7500 1
Si6 0.3607 0.3814 0.2500 1
# E_form (uncorrected)	-62.28	eV per formula unit
# DOS at the Fermi energy	10.42	states/eV/cell



4.
# Ba2SmSeO6, optimized geometry, DFT GGA-PBE
data_Ba2SmSeO6
_chemical_formula_sum 'Ba2 Sm1 Se1 O6'
_symmetry_space_group_name_H-M 'P 1'
_symmetry_Int_Tables_number 1
_cell_length_a 6.0169
_cell_length_b 6.0207
_cell_length_c 6.0207
_cell_angle_alpha 90.00
_cell_angle_beta 59.98
_cell_angle_gamma 120.02
loop_
_symmetry_equiv_pos_as_xyz
'x,y,z'
loop_
_atom_site_label
_atom_site_fract_x
_atom_site_fract_y
_atom_site_fract_z
_atom_site_occupancy
Se1 0.0000 0.5000 0.5000 1
O1 0.5371 0.2685 0.7315 1
Sm1 0.0000 0.0000 0.0000 1
O2 0.9999 0.7315 0.2685 1
Ba1 0.5000 0.2500 0.2500 1
O3 0.0001 0.2685 0.7315 1
O4 0.0000 0.2685 0.2685 1
O5 0.4629 0.7315 0.2685 1
Ba2 0.5000 0.7500 0.7500 1
O6 0.0000 0.7315 0.7315 1
# E_form (uncorrected)	-22.13	eV per formula unit
# DOS at the Fermi energy	4.14	states/eV/cell